Dy4In5Ga2 after structural relaxation, computed with PBE-GGA.

Results
The space group is P2/m. The value obtained for the uncorrected energy is -3.937 eV per atom. Its magnetization is 0.000 μB/cell. Its formation energy is -10.8 kcal/mol of atoms. For the calculated volume, the calculation gives 24.73 Å³ per atom.

Unit cell a=7.8105 b=3.5732 c=9.7851 alpha=90.00 beta=94.95 gamma=90.00
Last column: nearest neighbours and their distance in Å.
Atoms (fractional coordinates):
Dy: 0.1791 0.0000 0.3688  2 Ga 3.02, 8 In 3.25-3.38
Dy: 0.2526 0.0000 0.9359  4 Ga 3.05-3.09, 6 In 3.26-3.30
Dy: 0.7474 0.0000 0.0641  4 Ga 3.05-3.09, 6 In 3.26-3.30
Dy: 0.8209 0.0000 0.6312  2 Ga 3.02, 8 In 3.25-3.38
In: 0.1746 0.5000 0.6545  1 Ga 2.96, 2 In 3.07-3.21, 4 Dy 3.28-3.29
In: 0.4479 0.5000 0.1870  1 Ga 2.98, 2 In 3.05-3.21, 4 Dy 3.26-3.30
In: 0.5000 0.5000 0.5000  4 In 3.05-3.07, 4 Dy 3.25
In: 0.5521 0.5000 0.8130  1 Ga 2.98, 2 In 3.05-3.21, 4 Dy 3.26-3.30
In: 0.8254 0.5000 0.3455  1 Ga 2.96, 2 In 3.07-3.21, 4 Dy 3.28-3.29
Ga: 0.0669 0.5000 0.1285  1 Ga 2.64
Ga: 0.9331 0.5000 0.8715  1 Ga 2.64